## P
CuRu3W after structural relaxation. Source: Alexandria, functional PBE.

Geometry as CIF:
```
data_CuRu3W
_chemical_formula_sum 'Cu1 Ru3 W1'
_cell_length_a 4.347
_cell_length_b 4.347
_cell_length_c 4.347
_cell_angle_alpha 90.00
_cell_angle_beta 90.00
_cell_angle_gamma 90.00
_symmetry_space_group_name_H-M 'P 1'
_symmetry_Int_Tables_number 1
_symmetry_space_group_name_Hall 'P 1'
loop_
_atom_site_label
_atom_site_fract_x
_atom_site_fract_y
_atom_site_fract_z
Cu1 0.000 0.000 0.000
Ru1 0.000 0.000 0.500
Ru2 0.000 0.500 0.000
Ru3 0.500 0.000 0.000
W1 0.500 0.500 0.500
```

## Q
CuRu3W after structural relaxation. Source: Alexandria, functional PBE.

Geometry as CIF:
```
data_CuRu3W
_chemical_formula_sum 'Cu1 Ru3 W1'
_cell_length_a 4.680
_cell_length_b 4.680
_cell_length_c 4.680
_cell_angle_alpha 90.00
_cell_angle_beta 90.00
_cell_angle_gamma 90.00
_symmetry_space_group_name_H-M 'P 1'
_symmetry_Int_Tables_number 1
_symmetry_space_group_name_Hall 'P 1'
loop_
_atom_site_label
_atom_site_fract_x
_atom_site_fract_y
_atom_site_fract_z
Cu1 0.000 0.000 0.000
Ru1 0.000 0.500 0.500
Ru2 0.500 0.000 0.500
Ru3 0.500 0.500 0.000
W1 0.500 0.500 0.500
```

Which structure is the most stable? The one labeled P.

## P
Cu2RuW after structural relaxation. Source: Alexandria, functional PBE.

Geometry as CIF:
```
data_Cu2RuW
_chemical_formula_sum 'Cu2 Ru1 W1'
_cell_length_a 2.687
_cell_length_b 4.031
_cell_length_c 5.031
_cell_angle_alpha 90.00
_cell_angle_beta 90.14
_cell_angle_gamma 90.00
_symmetry_space_group_name_H-M 'P 1'
_symmetry_Int_Tables_number 1
_symmetry_space_group_name_Hall 'P 1'
loop_
_atom_site_label
_atom_site_fract_x
_atom_site_fract_y
_atom_site_fract_z
Cu1 0.000 0.000 0.249
Cu2 0.000 0.000 0.751
Ru1 0.500 0.500 0.000
W1 0.500 0.500 0.500
```

## Q
Cu2RuW after structural relaxation. Source: Alexandria, functional PBE.

Geometry as CIF:
```
data_Cu2RuW
_chemical_formula_sum 'Cu2 Ru1 W1'
_cell_length_a 4.806
_cell_length_b 4.806
_cell_length_c 4.806
_cell_angle_alpha 135.21
_cell_angle_beta 135.21
_cell_angle_gamma 65.20
_symmetry_space_group_name_H-M 'P 1'
_symmetry_Int_Tables_number 1
_symmetry_space_group_name_Hall 'P 1'
loop_
_atom_site_label
_atom_site_fract_x
_atom_site_fract_y
_atom_site_fract_z
Cu1 0.250 0.750 0.500
Cu2 0.750 0.250 0.500
Ru1 0.000 0.000 0.000
W1 0.500 0.500 0.000
```

## R
Cu2RuW after structural relaxation. Source: Alexandria, functional PBE.

Geometry as CIF:
```
data_Cu2RuW
_chemical_formula_sum 'Cu2 Ru1 W1'
_cell_length_a 4.233
_cell_length_b 4.233
_cell_length_c 4.233
_cell_angle_alpha 60.00
_cell_angle_beta 60.00
_cell_angle_gamma 60.00
_symmetry_space_group_name_H-M 'P 1'
_symmetry_Int_Tables_number 1
_symmetry_space_group_name_Hall 'P 1'
loop_
_atom_site_label
_atom_site_fract_x
_atom_site_fract_y
_atom_site_fract_z
Cu1 0.250 0.250 0.250
Cu2 0.750 0.750 0.750
Ru1 0.000 0.000 0.000
W1 0.500 0.500 0.500
```

## S
Cu2RuW after structural relaxation. Source: Alexandria, functional PBE.

Geometry as CIF:
```
data_Cu2RuW
_chemical_formula_sum 'Cu2 Ru1 W1'
_cell_length_a 4.728
_cell_length_b 4.728
_cell_length_c 4.555
_cell_angle_alpha 99.71
_cell_angle_beta 99.71
_cell_angle_gamma 33.38
_symmetry_space_group_name_H-M 'P 1'
_symmetry_Int_Tables_number 1
_symmetry_space_group_name_Hall 'P 1'
loop_
_atom_site_label
_atom_site_fract_x
_atom_site_fract_y
_atom_site_fract_z
Cu1 0.249 0.249 0.250
Cu2 0.751 0.751 0.750
Ru1 0.500 0.500 0.000
W1 0.000 0.000 0.500
```

Which structure is the most stable? The one labeled Q.

## P
CuRuW3 after structural relaxation. Source: Alexandria, functional PBE.

Geometry as CIF:
```
data_CuRuW3
_chemical_formula_sum 'Cu1 Ru1 W3'
_cell_length_a 4.447
_cell_length_b 4.447
_cell_length_c 4.447
_cell_angle_alpha 90.00
_cell_angle_beta 90.00
_cell_angle_gamma 90.00
_symmetry_space_group_name_H-M 'P 1'
_symmetry_Int_Tables_number 1
_symmetry_space_group_name_Hall 'P 1'
loop_
_atom_site_label
_atom_site_fract_x
_atom_site_fract_y
_atom_site_fract_z
Cu1 0.000 0.000 0.000
Ru1 0.500 0.500 0.500
W1 0.000 0.000 0.500
W2 0.000 0.500 0.000
W3 0.500 0.000 0.000
```

## Q
CuRuW3 after structural relaxation. Source: Alexandria, functional PBE.

Geometry as CIF:
```
data_CuRuW3
_chemical_formula_sum 'Cu1 Ru1 W3'
_cell_length_a 4.681
_cell_length_b 4.681
_cell_length_c 4.681
_cell_angle_alpha 90.00
_cell_angle_beta 90.00
_cell_angle_gamma 90.00
_symmetry_space_group_name_H-M 'P 1'
_symmetry_Int_Tables_number 1
_symmetry_space_group_name_Hall 'P 1'
loop_
_atom_site_label
_atom_site_fract_x
_atom_site_fract_y
_atom_site_fract_z
Cu1 0.000 0.000 0.000
Ru1 0.500 0.500 0.500
W1 0.000 0.500 0.500
W2 0.500 0.000 0.500
W3 0.500 0.500 0.000
```

Which structure is the most stable? The one labeled P.

## P
YCuRu2 after structural relaxation. Source: Alexandria, functional PBE.

Geometry as CIF:
```
data_YCuRu2
_chemical_formula_sum 'Y2 Cu2 Ru4'
_cell_length_a 9.606
_cell_length_b 9.606
_cell_length_c 9.606
_cell_angle_alpha 155.49
_cell_angle_beta 155.49
_cell_angle_gamma 34.94
_symmetry_space_group_name_H-M 'P 1'
_symmetry_Int_Tables_number 1
_symmetry_space_group_name_Hall 'P 1'
loop_
_atom_site_label
_atom_site_fract_x
_atom_site_fract_y
_atom_site_fract_z
Y1 0.000 0.000 0.000
Y2 0.750 0.250 0.500
Cu1 0.250 0.750 0.500
Cu2 0.500 0.500 0.000
Ru1 0.223 0.625 0.098
Ru2 0.375 0.473 0.598
Ru3 0.527 0.125 0.902
Ru4 0.875 0.777 0.402
```

## Q
YCuRu2 after structural relaxation. Source: Alexandria, functional PBE.

Geometry as CIF:
```
data_YCuRu2
_chemical_formula_sum 'Y1 Cu1 Ru2'
_cell_length_a 4.776
_cell_length_b 4.776
_cell_length_c 4.776
_cell_angle_alpha 127.80
_cell_angle_beta 127.80
_cell_angle_gamma 76.94
_symmetry_space_group_name_H-M 'P 1'
_symmetry_Int_Tables_number 1
_symmetry_space_group_name_Hall 'P 1'
loop_
_atom_site_label
_atom_site_fract_x
_atom_site_fract_y
_atom_site_fract_z
Y1 0.000 0.000 0.000
Cu1 0.250 0.750 0.500
Ru1 0.500 0.500 0.000
Ru2 0.750 0.250 0.500
```

## R
YCuRu2 after structural relaxation. Source: Alexandria, functional PBE.

Geometry as CIF:
```
data_YCuRu2
_chemical_formula_sum 'Y1 Cu1 Ru2'
_cell_length_a 3.003
_cell_length_b 4.526
_cell_length_c 4.940
_cell_angle_alpha 90.00
_cell_angle_beta 97.66
_cell_angle_gamma 90.00
_symmetry_space_group_name_H-M 'P 1'
_symmetry_Int_Tables_number 1
_symmetry_space_group_name_Hall 'P 1'
loop_
_atom_site_label
_atom_site_fract_x
_atom_site_fract_y
_atom_site_fract_z
Y1 0.000 0.000 0.000
Cu1 0.500 0.000 0.500
Ru1 0.311 0.500 0.726
Ru2 0.689 0.500 0.274
```

## S
YCuRu2 after structural relaxation. Source: Alexandria, functional PBE.

Geometry as CIF:
```
data_YCuRu2
_chemical_formula_sum 'Y1 Cu1 Ru2'
_cell_length_a 2.964
_cell_length_b 3.815
_cell_length_c 5.896
_cell_angle_alpha 90.00
_cell_angle_beta 90.00
_cell_angle_gamma 90.00
_symmetry_space_group_name_H-M 'P 1'
_symmetry_Int_Tables_number 1
_symmetry_space_group_name_Hall 'P 1'
loop_
_atom_site_label
_atom_site_fract_x
_atom_site_fract_y
_atom_site_fract_z
Y1 0.000 0.000 0.000
Cu1 0.500 0.500 0.277
Ru1 0.000 0.000 0.514
Ru2 0.500 0.500 0.703
```

Which structure is the most stable? The one labeled S.